Record 1
# V2HgRu2 GGA-PBE relaxed
# SG   No. 127
# Total energy   -7.383 eV per atom
# N(E_F)   8.81 states/eV per cell
# Polymorph energy (0 for the lowest one)   0.0 meV/atom
# Calculated formation energy   0.035 eV/atom
data_V2HgRu2
_chemical_formula_sum 'V4 Hg2 Ru4'
_cell_length_a 7.3401
_cell_length_b 7.3401
_cell_length_c 2.8681
_cell_angle_alpha 90.00
_cell_angle_beta 90.00
_cell_angle_gamma 90.00
_space_group_name_H-M_alt 'P 1'
_space_group_IT_number 1
loop_
_space_group_symop_operation_xyz
'x,y,z'
loop_
_atom_site_label
_atom_site_type_symbol
_atom_site_fract_x
_atom_site_fract_y
_atom_site_fract_z
Ru1 Ru 0.3623 0.8623 0.0000
Ru2 Ru 0.8623 0.6377 0.0000
Ru3 Ru 0.6377 0.1377 0.0000
Ru4 Ru 0.1377 0.3623 0.0000
Hg1 Hg 0.0000 0.0000 0.0000
Hg2 Hg 0.5000 0.5000 0.0000
V1 V 0.1530 0.6530 0.5000
V2 V 0.6530 0.8470 0.5000
V3 V 0.8470 0.3470 0.5000
V4 V 0.3470 0.1530 0.5000

***

Record 2
# B2H7 GGA-PBE relaxed
# SG   No. 71
# Total energy   -3.493 eV per atom
# N(E_F)   1.06 states/eV per cell
data_B2H7
_chemical_formula_sum 'B2 H7'
_cell_length_a 7.0371
_cell_length_b 7.0371
_cell_length_c 11.0049
_cell_angle_alpha 38.56
_cell_angle_beta 38.56
_cell_angle_gamma 19.42
_space_group_name_H-M_alt 'P 1'
_space_group_IT_number 1
loop_
_space_group_symop_operation_xyz
'x,y,z'
loop_
_atom_site_label
_atom_site_type_symbol
_atom_site_fract_x
_atom_site_fract_y
_atom_site_fract_z
B1 B 0.5986 0.5986 0.9014
B2 B 0.4014 0.4014 0.0986
H1 H 0.0000 0.0000 0.0000
H2 H 0.1574 0.8426 0.6520
H3 H 0.8017 0.8017 0.1983
H4 H 0.8426 0.1574 0.6520
H5 H 0.8426 0.1574 0.3480
H6 H 0.1983 0.1983 0.8017
H7 H 0.1574 0.8426 0.3480